Density functional theory data (PBE) for an optimized crystal structure of TbScSe2.

Cell: 3.9875 3.9875 19.5183 Å, 90.00 90.00 120.00°
Last column: nearest neighbours and their distance in Å.
Space group R-3m (No. 166, hexagonal axes)
One atom of each set of equivalent atoms:
Tb1 0.0000 0.0000 0.0000 [3 per cell]  6 Se 2.89
Sc1 0.0000 0.0000 0.5000 [3 per cell]  6 Se 2.76
Se1 0.0000 0.0000 0.2442 [6 per cell]  3 Sc 2.76, 3 Tb 2.89

Computed properties:
Energy relative to the elements, uncorrected ... -6.7 eV per formula unit

Density functional theory data (PBE) for an optimized crystal structure of Hf5SbC.

Cell: 10.3378 7.4731 8.4163 Å, 90.00 108.77 90.00°
Last column: nearest neighbours and their distance in Å.
Space group C2/c (No. 15)
One atom of each set of equivalent atoms:
Hf1 0.0000 0.0753 0.2500 [4 per cell]  2 C 2.18
Hf2 0.1000 0.2596 0.9673 [8 per cell]  1 C 2.26
Hf3 0.2068 0.1224 0.6424 [8 per cell]  1 C 2.28
Sb1 0.0000 0.4455 0.2500 [4 per cell]  5 Hf 2.77-2.91
C1 0.0000 0.0000 0.0000 [4 per cell]  6 Hf 2.18-2.28

Computed properties:
Energy relative to the elements, uncorrected ... -0.8 eV per formula unit

Density functional theory data (PBE) for an optimized crystal structure of HoTlF4.

Cell: 4.3899 17.6989 6.5012 Å, 90.00 90.00 90.00°
Last column: nearest neighbours and their distance in Å.
Space group Cmcm (No. 63)
One atom of each set of equivalent atoms:
Ho1 0.0000 0.0840 0.2500 [4 per cell]  6 F 2.15-2.20
Tl1 0.0000 0.3085 0.2500 [4 per cell]  6 F 2.79-2.85
F1 0.0000 0.0000 0.0000 [4 per cell]  2 Ho 2.20
F2 0.0000 0.1737 0.0265 [8 per cell]  1 Ho 2.15
F3 0.0000 0.4190 0.7500 [4 per cell]  2 Ho 2.20

Computed properties:
Energy relative to the elements, uncorrected ... -20.2 eV per formula unit

Density functional theory data (PBE) for an optimized crystal structure of BaSrTm.

Cell: 4.1267 4.1267 16.6721 Å, 90.00 90.00 90.00°
Last column: nearest neighbours and their distance in Å.
Space group P4/nmm (No. 129, origin choice 2)
One atom of each set of equivalent atoms:
Ba1 0.2500 0.2500 0.1031 [2 per cell]  8 Ba 4.13-4.51, 4 Sr 4.42
Sr1 0.2500 0.2500 0.6981 [2 per cell]  5 Tm 3.81-4.15, 4 Sr 4.13
Tm1 0.2500 0.2500 0.4494 [2 per cell]  4 Tm 3.37

Computed properties:
DFT formation energy ... 0.123 eV/atom